## LiRuCO5 (PBE-GGA)

Data for crystalline LiRuCO5 at its relaxed geometry.

Cell lengths 5.016, 5.016, 6.982 Å; angles 106.16, 106.16, 102.65 degrees
Fractional coordinates of all 16 atoms:
Li: 0.156 0.844 0.750
Li: 0.844 0.156 0.250
Ru: 0.500 0.500 0.000
Ru: 0.500 0.500 0.500
C: 0.182 0.818 0.250
C: 0.818 0.182 0.750
O: 0.092 0.229 0.906
O: 0.164 0.607 0.344
O: 0.229 0.092 0.406
O: 0.393 0.836 0.156
O: 0.408 0.592 0.750
O: 0.592 0.408 0.250
O: 0.607 0.164 0.844
O: 0.771 0.908 0.594
O: 0.836 0.393 0.656
O: 0.908 0.771 0.094

Its crystal system is monoclinic. For the uncorrected formation energy, the calculation gives -1136.8 meV/atom. The calculation puts the volume at 153 Å³ per cell. For the total energy, the calculation gives -108.6 eV/cell.

## TmCoReSi3 (PBE-GGA)

Data for crystalline TmCoReSi3 at its relaxed geometry.

Cell lengths 6.668, 6.668, 5.850 Å; angles 90.00, 90.00, 125.30 degrees
Fractional coordinates of all 12 atoms:
Tm: 0.247 0.753 0.750
Tm: 0.753 0.247 0.250
Co: 0.392 0.608 0.250
Co: 0.608 0.392 0.750
Re: 0.025 0.975 0.250
Re: 0.975 0.025 0.750
Si: 0.216 0.784 0.250
Si: 0.308 0.308 0.000
Si: 0.308 0.308 0.500
Si: 0.692 0.692 0.000
Si: 0.692 0.692 0.500
Si: 0.784 0.216 0.750

Its crystal system is orthorhombic. For the uncorrected formation energy, the calculation gives -204.2 meV/atom. The calculation puts the volume at 212 Å³ per cell. For the total energy, the calculation gives -83.0 eV/cell.

## Y2HoN3 (PBE-GGA)

Data for crystalline Y2HoN3 at its relaxed geometry.

Cell lengths 6.009, 6.009, 6.009 Å; angles 99.59, 99.59, 120.00 degrees
Fractional coordinates of all 12 atoms:
Y: 0.000 0.000 0.000
Y: 0.167 0.833 0.500
Y: 0.500 0.500 0.500
Y: 0.833 0.167 0.500
Ho: 0.333 0.667 0.000
Ho: 0.667 0.333 0.000
N: 0.083 0.417 0.248
N: 0.252 0.252 0.751
N: 0.417 0.083 0.248
N: 0.583 0.917 0.752
N: 0.748 0.748 0.249
N: 0.917 0.583 0.752

Its crystal system is monoclinic. For the uncorrected formation energy, the calculation gives -1711.2 meV/atom. The calculation puts the volume at 177 Å³ per cell. For the total energy, the calculation gives -105.5 eV/cell.